# 1
The following is a PBE calculation of an optimized crystal structure of Na3YPd, from Alexandria.

Summary:
E above lowest polymorph	87.1	kJ per mole of atoms
final energy	-1.81	eV/atom
DOS at the Fermi energy	4.6	states/eV/f.u.
energy of formation	1.314	eV/atom

Unit cell a=6.223 b=6.223 c=6.223 alpha=90.00 beta=90.00 gamma=90.00
Space group Pm-3m (No. 221)
One atom of each set of equivalent atoms:
Na1 0.000 0.000 0.500 [3 per cell]
Y1 0.000 0.000 0.000 [1 per cell]
Pd1 0.500 0.500 0.500 [1 per cell]

# 2
The following is a PBE calculation of an optimized crystal structure of NaYPd2, from Alexandria.

Summary:
E above lowest polymorph	2.4	kJ per mole of atoms
final energy	-5.05	eV/atom
DOS at the Fermi energy	1.7	states/eV/f.u.
energy of formation	-0.503	eV/atom

Unit cell a=6.861 b=6.861 c=6.861 alpha=90.00 beta=90.00 gamma=90.00
Space group Fm-3m (No. 225)
One atom of each set of equivalent atoms:
Na1 0.000 0.000 0.000 [4 per cell]
Y1 0.000 0.000 0.500 [4 per cell]
Pd1 0.250 0.250 0.250 [8 per cell]

# 3
The following is a PBE calculation of an optimized crystal structure of NaYPd2, from Alexandria.

Summary:
E above lowest polymorph	24.8	kJ per mole of atoms
final energy	-4.81	eV/atom
DOS at the Fermi energy	0.8	states/eV/f.u.
energy of formation	-0.270	eV/atom

Unit cell a=7.510 b=7.510 c=6.038 alpha=90.00 beta=90.00 gamma=90.00
Space group I-42d (No. 122)
One atom of each set of equivalent atoms:
Na1 0.000 0.000 0.000 [4 per cell]
Y1 0.000 0.000 0.500 [4 per cell]
Pd1 0.249 0.250 0.625 [8 per cell]

# 4
The following is a PBE calculation of an optimized crystal structure of NaY3Pd, from Alexandria.

Summary:
E above lowest polymorph	0.0	kJ per mole of atoms
final energy	-5.28	eV/atom
DOS at the Fermi energy	8.4	states/eV/f.u.
energy of formation	-0.094	eV/atom

Unit cell a=5.532 b=5.532 c=5.532 alpha=90.00 beta=90.00 gamma=90.00
Space group Pm-3m (No. 221)
One atom of each set of equivalent atoms:
Na1 0.000 0.000 0.000 [1 per cell]
Y1 0.000 0.500 0.500 [3 per cell]
Pd1 0.500 0.500 0.500 [1 per cell]

# 5
The following is a PBE calculation of an optimized crystal structure of NaZn2Pd, from Alexandria.

Summary:
final energy	-2.47	eV/atom
DOS at the Fermi energy	2.3	states/eV/f.u.
energy of formation	-0.202	eV/atom

Unit cell a=4.4120 b=4.4120 c=15.5665 alpha=90.00 beta=90.00 gamma=120.00
Space group R3m (No. 160, hexagonal axes)
One atom of each set of equivalent atoms:
Na1 0.0000 0.0000 0.0000 [3 per cell]
Zn1 0.0000 0.0000 0.5117 [3 per cell]
Zn2 0.0000 0.0000 0.8126 [3 per cell]
Pd1 0.0000 0.0000 0.1858 [3 per cell]

# 6
The following is a PBE calculation of an optimized crystal structure of NaZn2Pd, from Alexandria.

Summary:
final energy	-2.46	eV/atom
DOS at the Fermi energy	1.7	states/eV/f.u.
energy of formation	-0.190	eV/atom

Unit cell a=4.3717 b=4.3717 c=15.1074 alpha=90.00 beta=90.00 gamma=120.00
Space group R-3m (No. 166, hexagonal axes)
One atom of each set of equivalent atoms:
Na1 0.0000 0.0000 0.0000 [3 per cell]
Zn1 0.0000 0.0000 0.1986 [6 per cell]
Pd1 0.0000 0.0000 0.5000 [3 per cell]